1.
# YMg2CN | the Alexandria database | PBE-GGA | optimized geometry
# - DOS(E_F) (states/eV per cell) = 1.41
# - size of the total moment (μB per formula unit) = 0.0
# - VASP energy (eV/cell) = -23.52
# - formation energy without anion corrections (eV/atom) = 0.74
data_YMg2CN
_space_group_name_H-M_alt 'P 1'
_space_group_IT_number 1
_cell_length_a 3.937
_cell_length_b 6.041
_cell_length_c 3.937
_cell_angle_alpha 90.00
_cell_angle_beta 90.00
_cell_angle_gamma 90.00
loop_
_space_group_symop_operation_xyz
'x,y,z'
loop_
_atom_site_label
_atom_site_type_symbol
_atom_site_fract_x
_atom_site_fract_y
_atom_site_fract_z
_atom_site_occupancy
Y1 Y 0.500 0.500 0.500 1
Mg1 Mg 0.000 0.000 0.500 1
Mg2 Mg 0.500 0.000 0.000 1
C1 C 0.000 0.000 0.000 1
N1 N 0.000 0.500 0.000 1

2.
# CuHgO2 | the Alexandria database | PBE-GGA | optimized geometry
# - DOS(E_F) (states/eV per cell) = 1.78
# - size of the total moment (μB per formula unit) = 0.3
# - VASP energy (eV/cell) = -15.89
# - formation energy without anion corrections (eV/atom) = -0.39
data_CuHgO2
_space_group_name_H-M_alt 'P 1'
_space_group_IT_number 1
_cell_length_a 2.999
_cell_length_b 3.838
_cell_length_c 5.775
_cell_angle_alpha 99.89
_cell_angle_beta 105.05
_cell_angle_gamma 67.00
loop_
_space_group_symop_operation_xyz
'x,y,z'
loop_
_atom_site_label
_atom_site_type_symbol
_atom_site_fract_x
_atom_site_fract_y
_atom_site_fract_z
_atom_site_occupancy
O1 O 0.573 0.073 0.219 1
O2 O 0.427 0.927 0.781 1
Hg1 Hg 0.500 0.500 0.500 1
Cu1 Cu 0.000 0.000 0.000 1

3.
# AcCeBr | the Alexandria database | PBE-GGA | optimized geometry
# - DOS(E_F) (states/eV per cell) = 10.84
# - size of the total moment (μB per formula unit) = 0.4
# - VASP energy (eV/cell) = -27.61
# - formation energy without anion corrections (eV/atom) = -0.70
data_AcCeBr
_space_group_name_H-M_alt 'P 1'
_space_group_IT_number 1
_cell_length_a 5.404
_cell_length_b 4.061
_cell_length_c 13.047
_cell_angle_alpha 85.36
_cell_angle_beta 90.00
_cell_angle_gamma 131.70
loop_
_space_group_symop_operation_xyz
'x,y,z'
loop_
_atom_site_label
_atom_site_type_symbol
_atom_site_fract_x
_atom_site_fract_y
_atom_site_fract_z
_atom_site_occupancy
Ac1 Ac 0.195 0.389 0.753 1
Ac2 Ac 0.805 0.611 0.247 1
Ce1 Ce 0.280 0.560 0.035 1
Ce2 Ce 0.720 0.440 0.965 1
Br1 Br 0.275 0.550 0.381 1
Br2 Br 0.725 0.450 0.619 1

4.
# Cs2Te3Pb2 | the Alexandria database | PBE-GGA | optimized geometry
# - size of the total moment (μB per formula unit) = 0.0
# - VASP energy (eV/cell) = -23.09
# - formation energy without anion corrections (eV/atom) = -0.65
data_Cs2Te3Pb2
_space_group_name_H-M_alt 'P 1'
_space_group_IT_number 1
_cell_length_a 4.771
_cell_length_b 8.151
_cell_length_c 9.560
_cell_angle_alpha 101.09
_cell_angle_beta 90.44
_cell_angle_gamma 107.03
loop_
_space_group_symop_operation_xyz
'x,y,z'
loop_
_atom_site_label
_atom_site_type_symbol
_atom_site_fract_x
_atom_site_fract_y
_atom_site_fract_z
_atom_site_occupancy
Cs1 Cs 0.869 0.747 0.635 1
Cs2 Cs 0.131 0.253 0.365 1
Te1 Te 0.000 0.000 0.000 1
Te2 Te 0.779 0.551 0.227 1
Te3 Te 0.221 0.449 0.773 1
Pb1 Pb 0.636 0.275 0.943 1
Pb2 Pb 0.364 0.725 0.057 1

5.
# TbThAlAu | the Alexandria database | PBE-GGA | optimized geometry
# - DOS(E_F) (states/eV per cell) = 4.30
# - size of the total moment (μB per formula unit) = 1.0
# - VASP energy (eV/cell) = -20.73
# - energy relative to the elements (eV/atom) = -0.41
data_TbThAlAu
_space_group_name_H-M_alt 'P 1'
_space_group_IT_number 1
_cell_length_a 5.231
_cell_length_b 5.231
_cell_length_c 5.231
_cell_angle_alpha 60.00
_cell_angle_beta 60.00
_cell_angle_gamma 60.00
loop_
_space_group_symop_operation_xyz
'x,y,z'
loop_
_atom_site_label
_atom_site_type_symbol
_atom_site_fract_x
_atom_site_fract_y
_atom_site_fract_z
_atom_site_occupancy
Tb1 Tb 0.250 0.250 0.250 1
Au1 Au 0.000 0.000 0.000 1
Al1 Al 0.500 0.500 0.500 1
Th1 Th 0.750 0.750 0.750 1

6.
# V3GaB | the Alexandria database | PBE-GGA | optimized geometry
# - DOS(E_F) (states/eV per cell) = 5.66
# - size of the total moment (μB per formula unit) = 0.6
# - VASP energy (eV/cell) = -37.60
# - energy relative to the elements (eV/atom) = -0.11
data_V3GaB
_space_group_name_H-M_alt 'P 1'
_space_group_IT_number 1
_cell_length_a 4.036
_cell_length_b 4.036
_cell_length_c 4.036
_cell_angle_alpha 90.00
_cell_angle_beta 90.00
_cell_angle_gamma 90.00
loop_
_space_group_symop_operation_xyz
'x,y,z'
loop_
_atom_site_label
_atom_site_type_symbol
_atom_site_fract_x
_atom_site_fract_y
_atom_site_fract_z
_atom_site_occupancy
B1 B 0.000 0.000 0.000 1
Ga1 Ga 0.500 0.500 0.500 1
V1 V 0.000 0.500 0.000 1
V2 V 0.000 0.000 0.500 1
V3 V 0.500 0.000 0.000 1

Question: What is the formula in the second record?
Answer: CuHgO2